No. 1
VASP calculation (PBE) on a relaxed ZrTeRu2C crystal.

Calculated values
As for the density of states at the Fermi level: 1.886 states/eV/cell. The calculation puts the formation energy without anion corrections at 0.3141 eV per atom.

Cell: 4.0632 4.0632 4.9197 Å, 90.00 90.00 90.00°
With the nearest neighbours (Å) after each atom.
Space group P4/mmm (No. 123)
Symmetry-distinct sites (fractional):
1 Zr 0.0000 0.0000 0.0000 [1 per cell]  4 Te 2.87, 8 Ru 3.19
2 Te 0.5000 0.5000 0.0000 [1 per cell]  2 C 2.46
3 Ru 0.0000 0.5000 0.5000 [2 per cell]  2 C 2.03
4 C 0.5000 0.5000 0.5000 [1 per cell]  4 Ru 2.03



No. 2
VASP calculation (PBE) on a relaxed ThRuC2 crystal.

Calculated values
The calculation puts the formation energy at -0.206 eV/atom. As for the density of states at the Fermi level: 3.831 states/eV/cell. The relative energy among the computed polymorphs is 0 meV per atom.

Cell: 3.7237 4.6870 6.6864 Å, 90.00 90.00 90.00°
With the nearest neighbours (Å) after each atom.
Space group Amm2 (No. 38)
Symmetry-distinct sites (fractional):
1 Th 0.0000 0.0000 0.0000 [2 per cell]  8 C 2.80-2.86, 4 Ru 3.09
2 Ru 0.5000 0.0000 0.3852 [2 per cell]  4 C 2.10-2.16
3 C 0.5000 0.1479 0.6913 [4 per cell]  1 C 1.39



No. 3
VASP calculation (PBE) on a relaxed ThRu3C crystal.

Calculated values
The calculation puts the formation energy at -0.287 eV/atom. As for the density of states at the Fermi level: 2.050 states/eV/cell.

Cell: 4.2333 4.2333 4.2333 Å, 90.00 90.00 90.00°
With the nearest neighbours (Å) after each atom.
Space group Pm-3m (No. 221)
Symmetry-distinct sites (fractional):
1 Th 0.0000 0.0000 0.0000 [1 per cell]  12 Ru 2.99
2 Ru 0.0000 0.5000 0.5000 [3 per cell]  2 C 2.12
3 C 0.5000 0.5000 0.5000 [1 per cell]  6 Ru 2.12



No. 4
VASP calculation (PBE) on a relaxed ThRuC crystal.

Calculated values
The calculation puts the formation energy at -0.044 eV/atom. As for the density of states at the Fermi level: 1.178 states/eV/cell.

Cell: 3.4381 3.4381 5.0378 Å, 90.00 90.00 120.00°
With the nearest neighbours (Å) after each atom.
Space group P3m1 (No. 156)
Symmetry-distinct sites (fractional):
1 Th 0.0000 0.0000 0.0000 [1 per cell]  3 C 2.66
2 Ru 0.6667 0.3333 0.5340 [1 per cell]  3 C 2.07
3 C 0.3333 0.6667 0.6481 [1 per cell]  3 Ru 2.07



No. 5
VASP calculation (PBE) on a relaxed ThRu4C2 crystal.

Calculated values
The calculation puts the formation energy at 0.066 eV/atom. As for the density of states at the Fermi level: 9.743 states/eV/cell.

Cell: 3.7988 13.8315 3.7418 Å, 90.00 90.00 90.00°
With the nearest neighbours (Å) after each atom.
Space group Cmmm (No. 65)
Symmetry-distinct sites (fractional):
1 Th 0.0000 0.0000 0.0000 [2 per cell]  8 C 3.04, 8 Ru 3.06-3.14
2 Ru 0.0000 0.1748 0.5000 [4 per cell]  2 C 2.12
3 Ru 0.0000 0.3188 0.0000 [4 per cell]  2 C 2.14
4 C 0.0000 0.3939 0.5000 [4 per cell]  4 Ru 2.12-2.14



No. 6
VASP calculation (PBE) on a relaxed ThRu2C crystal.

Calculated values
The calculation puts the formation energy at 0.365 eV/atom. As for the density of states at the Fermi level: 10.646 states/eV/cell. The relative energy among the computed polymorphs is 334 meV per atom.

Cell: 3.7908 3.7908 15.8388 Å, 90.00 90.00 120.00°
With the nearest neighbours (Å) after each atom.
Space group R-3m (No. 166, hexagonal axes)
Symmetry-distinct sites (fractional):
1 Th 0.0000 0.0000 0.0000 [3 per cell]  6 Ru 2.94
2 Ru 0.0000 0.0000 0.2090 [6 per cell]  3 C 2.29
3 C 0.0000 0.0000 0.5000 [3 per cell]  6 Ru 2.29



No. 7
VASP calculation (PBE) on a relaxed ThRuC2 crystal.

Calculated values
The calculation puts the formation energy at 0.240 eV/atom. As for the density of states at the Fermi level: 12.602 states/eV/cell. The relative energy among the computed polymorphs is 447 meV per atom.

Cell: 3.4589 3.4589 15.6730 Å, 90.00 90.00 120.00°
With the nearest neighbours (Å) after each atom.
Space group R-3m (No. 166, hexagonal axes)
Symmetry-distinct sites (fractional):
1 Th 0.0000 0.0000 0.0000 [3 per cell]  6 C 2.58
2 Ru 0.0000 0.0000 0.5000 [3 per cell]  6 C 2.23
3 C 0.0000 0.0000 0.2295 [6 per cell]  3 Ru 2.23



No. 8
VASP calculation (PBE) on a relaxed ThRu2C crystal.

Calculated values
The calculation puts the formation energy at 0.031 eV/atom. As for the density of states at the Fermi level: 7.177 states/eV/cell. The relative energy among the computed polymorphs is 0 meV per atom.

Cell: 5.0853 7.9207 3.2972 Å, 90.00 90.00 90.00°
With the nearest neighbours (Å) after each atom.
Space group Cmmm (No. 65)
Symmetry-distinct sites (fractional):
1 Th 0.0000 0.0000 0.0000 [2 per cell]  2 C 2.54
2 Ru 0.0000 0.3397 0.5000 [4 per cell]  2 C 2.08
3 C 0.0000 0.5000 0.0000 [2 per cell]  4 Ru 2.08



No. 9
VASP calculation (PBE) on a relaxed Th4RuC2 crystal.

Calculated values
The calculation puts the formation energy at -0.323 eV/atom. As for the density of states at the Fermi level: 19.330 states/eV/cell.

Cell: 3.7851 12.3446 13.2262 Å, 90.00 90.00 90.00°
With the nearest neighbours (Å) after each atom.
Space group Cmcm (No. 63)
Symmetry-distinct sites (fractional):
1 Th 0.0000 0.0000 0.0000 [4 per cell]  4 C 2.66
2 Th 0.0000 0.2757 0.1115 [8 per cell]  3 C 2.55-2.65
3 Th 0.0000 0.4395 0.7500 [4 per cell]  2 C 2.64, 2 Ru 2.80
4 Ru 0.0000 0.1066 0.7500 [4 per cell]  6 Th 2.80-3.01
5 C 0.0000 0.3647 0.5628 [8 per cell]  6 Th 2.55-2.66



No. 10
VASP calculation (PBE) on a relaxed TmTh2RuC2 crystal.

Calculated values
The calculation puts the formation energy at -0.224 eV/atom. As for the density of states at the Fermi level: 9.389 states/eV/cell.

Cell: 5.8538 11.0126 3.7259 Å, 90.00 90.00 90.00°
With the nearest neighbours (Å) after each atom.
Space group Pnnm (No. 58)
Symmetry-distinct sites (fractional):
1 Tm 0.0000 0.0000 0.0000 [2 per cell]  4 C 2.57
2 Th 0.0493 0.2957 0.5000 [4 per cell]  3 C 2.50-2.54
3 Ru 0.0000 0.5000 0.0000 [2 per cell]  2 C 2.13
4 C 0.2088 0.8846 0.5000 [4 per cell]  1 Ru 2.13



No. 11
VASP calculation (PBE) on a relaxed ThU2RuC4 crystal.

Calculated values
The calculation puts the formation energy at -0.125 eV/atom. As for the density of states at the Fermi level: 23.734 states/eV/cell.

Cell: 3.5281 11.8371 11.6011 Å, 90.00 90.00 90.00°
With the nearest neighbours (Å) after each atom.
Space group Cmcm (No. 63)
Symmetry-distinct sites (fractional):
1 Th 0.0000 0.1057 0.2500 [4 per cell]  6 C 2.57-2.84
2 U 0.0000 0.3699 0.0504 [8 per cell]  6 C 2.29-2.49
3 Ru 0.0000 0.1530 0.7500 [4 per cell]  4 C 2.04-2.13
4 C 0.0000 0.0000 0.0000 [4 per cell]  4 U 2.41
5 C 0.0000 0.2625 0.6137 [8 per cell]  1 Ru 2.04, 1 U 2.29
6 C 0.0000 0.4475 0.2500 [4 per cell]  2 Ru 2.13



No. 12
VASP calculation (PBE) on a relaxed YTh2RuC2 crystal.

Calculated values
The calculation puts the formation energy at -0.228 eV/atom. As for the density of states at the Fermi level: 9.509 states/eV/cell.

Cell: 5.8777 11.0830 3.7586 Å, 90.00 90.00 90.00°
With the nearest neighbours (Å) after each atom.
Space group Pnnm (No. 58)
Symmetry-distinct sites (fractional):
1 Y 0.0000 0.0000 0.0000 [2 per cell]  4 C 2.62
2 Th 0.0429 0.2972 0.5000 [4 per cell]  3 C 2.50-2.54
3 Ru 0.0000 0.5000 0.0000 [2 per cell]  2 C 2.12
4 C 0.2156 0.8819 0.5000 [4 per cell]  1 Ru 2.12



No. 13
VASP calculation (PBE) on a relaxed TiRu2C crystal.

Calculated values
The calculation puts the formation energy at -0.057 eV/atom. As for the density of states at the Fermi level: 12.470 states/eV/cell.

Cell: 6.7560 6.7560 4.6493 Å, 90.00 90.00 90.00°
With the nearest neighbours (Å) after each atom.
Space group I-42d (No. 122)
Symmetry-distinct sites (fractional):
1 Ti 0.0000 0.0000 0.0000 [4 per cell]  2 C 2.32, 4 Ru 2.59
2 Ru 0.1327 0.7500 0.6250 [8 per cell]  2 C 2.00
3 C 0.0000 0.0000 0.5000 [4 per cell]  4 Ru 2.00



No. 14
VASP calculation (PBE) on a relaxed Ti2RuC crystal.

Calculated values
The calculation puts the formation energy at -0.130 eV/atom. As for the density of states at the Fermi level: 14.370 states/eV/cell.

Cell: 7.3575 7.3575 4.1875 Å, 90.00 90.00 90.00°
With the nearest neighbours (Å) after each atom.
Space group I-42d (No. 122)
Symmetry-distinct sites (fractional):
1 Ti 0.1184 0.2500 0.1250 [8 per cell]  2 C 2.10
2 Ru 0.0000 0.0000 0.5000 [4 per cell]  2 C 2.09
3 C 0.0000 0.0000 0.0000 [4 per cell]  2 Ru 2.09, 4 Ti 2.10



No. 15
VASP calculation (PBE) on a relaxed TiRu2C2 crystal.

Calculated values
The calculation puts the formation energy at 0.473 eV/atom. As for the density of states at the Fermi level: 8.396 states/eV/cell. The relative energy among the computed polymorphs is 0 meV per atom.

Cell: 3.7404 3.7404 8.3636 Å, 90.00 90.00 90.00°
With the nearest neighbours (Å) after each atom.
Space group I4/mmm (No. 139)
Symmetry-distinct sites (fractional):
1 Ti 0.0000 0.0000 0.0000 [2 per cell]  8 C 2.81, 10 Ru 2.92-2.93
2 Ru 0.0000 0.0000 0.3507 [4 per cell]  4 C 2.05
3 C 0.0000 0.5000 0.2500 [4 per cell]  4 Ru 2.05



No. 16
VASP calculation (PBE) on a relaxed TiRu2C2 crystal.

Calculated values
The calculation puts the formation energy at 0.867 eV/atom. As for the density of states at the Fermi level: 5.370 states/eV/cell. The relative energy among the computed polymorphs is 394 meV per atom.

Cell: 6.4090 6.4090 2.7231 Å, 90.00 90.00 90.00°
With the nearest neighbours (Å) after each atom.
Space group P4/mbm (No. 127)
Symmetry-distinct sites (fractional):
1 Ti 0.0000 0.0000 0.0000 [2 per cell]  4 Ru 2.46, 2 Ti 2.72, 8 C 2.73
2 Ru 0.1451 0.3549 0.0000 [4 per cell]  2 C 2.12
3 C 0.1762 0.6762 0.5000 [4 per cell]  2 Ru 2.12



No. 17
VASP calculation (PBE) on a relaxed TiRuC crystal.

Calculated values
The calculation puts the formation energy at -0.025 eV/atom. As for the density of states at the Fermi level: 38.762 states/eV/cell.

Cell: 6.8429 8.2358 10.3869 Å, 90.00 90.00 90.00°
With the nearest neighbours (Å) after each atom.
Space group Fddd (No. 70, origin choice 2)
Symmetry-distinct sites (fractional):
1 Ti 0.0000 0.0000 0.0000 [16 per cell]  2 C 2.20
2 Ru 0.1250 0.1250 0.4923 [16 per cell]  4 C 2.06-2.16
3 C 0.1250 0.3113 0.6250 [16 per cell]  4 Ru 2.06-2.16, 2 Ti 2.20



No. 18
VASP calculation (PBE) on a relaxed Ti2RuC crystal.

Calculated values
The calculation puts the formation energy at -0.573 eV/atom. As for the density of states at the Fermi level: 11.218 states/eV/cell.

Cell: 3.0033 3.0033 19.6292 Å, 90.00 90.00 120.00°
With the nearest neighbours (Å) after each atom.
Space group R-3m (No. 166, hexagonal axes)
Symmetry-distinct sites (fractional):
1 Ti 0.0000 0.0000 0.2289 [6 per cell]  3 C 2.12
2 Ru 0.0000 0.0000 0.0000 [3 per cell]  6 Ti 2.68, 6 Ru 3.00
3 C 0.0000 0.0000 0.5000 [3 per cell]  6 Ti 2.12



No. 19
VASP calculation (PBE) on a relaxed TlRuC2 crystal.

Calculated values
The calculation puts the formation energy at 2.330 eV/atom. As for the density of states at the Fermi level: 12.450 states/eV/cell. The relative energy among the computed polymorphs is 1282 meV per atom.

Cell: 5.7989 5.7989 5.7989 Å, 90.00 90.00 90.00°
With the nearest neighbours (Å) after each atom.
Space group Fm-3m (No. 225)
Symmetry-distinct sites (fractional):
1 Tl 0.0000 0.0000 0.0000 [4 per cell]  8 C 2.51
2 Ru 0.0000 0.0000 0.5000 [4 per cell]  8 C 2.51
3 C 0.2500 0.2500 0.2500 [8 per cell]  4 Tl 2.51, 4 Ru 2.51



No. 20
VASP calculation (PBE) on a relaxed TlRuC2 crystal.

Calculated values
The calculation puts the formation energy at 1.048 eV/atom. As for the density of states at the Fermi level: 1.945 states/eV/cell. The relative energy among the computed polymorphs is 0 meV per atom.

Cell: 5.8655 5.8655 9.3196 Å, 90.00 90.00 90.00°
With the nearest neighbours (Å) after each atom.
Space group I-42d (No. 122)
Symmetry-distinct sites (fractional):
1 Tl 0.0000 0.0000 0.0000 [4 per cell]  12 C 3.47-3.79, 4 Tl 3.75, 4 Ru 3.75
2 Ru 0.0000 0.0000 0.5000 [4 per cell]  4 C 1.87
3 C 0.0015 0.2500 0.6250 [8 per cell]  2 Ru 1.87